[1]
Tc4Ru (PBE-GGA, optimized geometry); DOS at the Fermi energy = 6.663 states/eV/cell; formation enthalpy at 0 K = 1958.8 meV per atom; M_tot = 0.407 μB/atom; space-group type = Pm-3m (221)
1.0
4.5804 0.0000 0.0000
0.0000 4.5804 0.0000
0.0000 0.0000 4.5804
Tc Ru
4 1
Direct
0.0000 0.0000 0.0000
0.0000 0.5000 0.5000
0.5000 0.0000 0.5000
0.5000 0.5000 0.0000
0.5000 0.5000 0.5000

[2]
TcRu2 (PBE-GGA, optimized geometry); DOS at the Fermi energy = 8.144 states/eV/cell; formation enthalpy at 0 K = 76.6 meV per atom; M_tot = 0.000 μB/atom; space-group type = Cmcm (63)
1.0
1.9187 -5.7270 0.0000
1.9187 5.7270 0.0000
0.0000 0.0000 3.8668
Tc Ru
2 4
Direct
0.0837 0.9163 0.7500
0.9163 0.0837 0.2500
0.2504 0.7496 0.2500
0.4168 0.5832 0.7500
0.5832 0.4168 0.2500
0.7496 0.2504 0.7500

[3]
TcRu3 (PBE-GGA, optimized geometry); DOS at the Fermi energy = 11.356 states/eV/cell; formation enthalpy at 0 K = 322.1 meV per atom; M_tot = 0.003 μB/atom; space-group type = Pm-3n (223)
1.0
4.8753 0.0000 0.0000
0.0000 4.8753 0.0000
0.0000 0.0000 4.8753
Tc Ru
2 6
Direct
0.0000 0.0000 0.0000
0.5000 0.5000 0.5000
0.0000 0.2500 0.5000
0.0000 0.7500 0.5000
0.2500 0.5000 0.0000
0.5000 0.0000 0.2500
0.5000 0.0000 0.7500
0.7500 0.5000 0.0000

[4]
Tc3Ru2 (PBE-GGA, optimized geometry); DOS at the Fermi energy = 5.918 states/eV/cell; formation enthalpy at 0 K = 613.5 meV per atom; M_tot = 0.000 μB/atom; space-group type = P-3m1 (164)
1.0
4.1517 0.0000 0.0000
-2.0759 3.5955 0.0000
0.0000 0.0000 5.4024
Tc Ru
3 2
Direct
0.0000 0.0000 0.0000
0.3333 0.6667 0.3925
0.6667 0.3333 0.6075
0.3333 0.6667 0.8571
0.6667 0.3333 0.1429

[5]
TcTeRu (PBE-GGA, optimized geometry); DOS at the Fermi energy = 4.288 states/eV/cell; M_tot = 0.000 μB/atom; space-group type = F-43m (216); formation energy (no corrections) = 0.97 eV per formula unit
1.0
0.0000 3.0601 3.0601
3.0601 0.0000 3.0601
3.0601 3.0601 0.0000
Tc Te Ru
1 1 1
Direct
0.0000 0.0000 0.0000
0.2500 0.2500 0.2500
0.7500 0.7500 0.7500

[6]
TcTe2Ru2 (PBE-GGA, optimized geometry); DOS at the Fermi energy = 5.795 states/eV/cell; M_tot = 0.000 μB/atom; space-group type = I4/mmm (139); formation energy (no corrections) = 3.53 eV per formula unit
1.0
-1.7220 1.7220 8.1915
1.7220 -1.7220 8.1915
1.7220 1.7220 -8.1915
Tc Te Ru
1 2 2
Direct
0.0000 0.0000 0.0000
0.3997 0.3997 0.0000
0.6003 0.6003 0.0000
0.2500 0.7500 0.5000
0.7500 0.2500 0.5000